Arrangement A

Here is a geometry-optimized RbLaSbI2 structure from the Alexandria database. Energies are from PBE.

N(E_F)   5.3 states/eV/f.u.

Cell: 6.1467 6.1467 6.2532 Å, 90.00 90.00 90.00°
Sites, in units of the cell vectors:
Rb 0.0000 0.0000 0.0000
La 0.5000 0.5000 0.5000
Sb 0.0000 0.0000 0.5000
I 0.0000 0.5000 0.0000
I 0.5000 0.0000 0.0000


Arrangement B

Here is a geometry-optimized RbLaSbI2 structure from the Alexandria database. Energies are from PBE.

N(E_F)   5.0 states/eV/f.u.

Cell: 6.3828 6.3828 6.1839 Å, 90.00 90.00 90.00°
Sites, in units of the cell vectors:
Rb 0.0000 0.0000 0.0000
La 0.5000 0.5000 0.5000
Sb 0.5000 0.5000 0.0000
I 0.0000 0.5000 0.5000
I 0.5000 0.0000 0.5000


Which is most stable? The ranking, best first, is arrangement B, arrangement A.


Arrangement A

Here is a geometry-optimized LaReI3 structure from the Alexandria database. Energies are from PBE.

N(E_F)   6.4 states/eV/f.u.

Cell: 5.3807 5.3807 5.3807 Å, 90.00 90.00 90.00°
Sites, in units of the cell vectors:
La 0.0000 0.0000 0.0000
Re 0.5000 0.5000 0.5000
I 0.0000 0.5000 0.5000
I 0.5000 0.0000 0.5000
I 0.5000 0.5000 0.0000


Arrangement B

Here is a geometry-optimized LaReI3 structure from the Alexandria database. Energies are from PBE.

N(E_F)   0.1 states/eV/f.u.

Cell: 6.2567 6.2567 6.2567 Å, 90.00 90.00 90.00°
Sites, in units of the cell vectors:
La 0.0000 0.0000 0.0000
Re 0.5000 0.5000 0.5000
I 0.0000 0.0000 0.5000
I 0.0000 0.5000 0.0000
I 0.5000 0.0000 0.0000


Which is most stable? The ranking, best first, is arrangement A, arrangement B.


Arrangement A

Here is a geometry-optimized La2ReI structure from the Alexandria database. Energies are from PBE.

N(E_F)   0.0 states/eV/f.u.

Cell: 7.2691 7.2691 7.2691 Å, 114.86 114.86 99.15°
Sites, in units of the cell vectors:
La 0.0421 0.6250 0.9171
La 0.3750 0.2921 0.4171
La 0.7079 0.1250 0.0829
La 0.8750 0.9579 0.5829
Re 0.0000 0.0000 0.0000
Re 0.7500 0.2500 0.5000
I 0.2500 0.7500 0.5000
I 0.5000 0.5000 0.0000


Arrangement B

Here is a geometry-optimized La2ReI structure from the Alexandria database. Energies are from PBE.

N(E_F)   3.4 states/eV/f.u.

Cell: 5.3628 5.3628 5.3628 Å, 60.00 60.00 60.00°
Sites, in units of the cell vectors:
La 0.2500 0.2500 0.2500
La 0.7500 0.7500 0.7500
Re 0.0000 0.0000 0.0000
I 0.5000 0.5000 0.5000


Which is most stable? The ranking, best first, is arrangement A, arrangement B.